VASP calculation (PBE with a Hubbard U) on an optimized crystal structure of K2NiHF.

Cell: 5.1666 4.8246 5.1666 Å, 90.00 90.00 90.00°
Positions (direct):
Ni1 0.5000 0.5000 0.5000
K1 0.0000 0.0000 0.5000
K2 0.5000 0.0000 0.0000
H1 0.0000 0.5000 0.0000
F1 0.0000 0.0000 0.0000

* E_tot: -2.219 eV per atom
* crystal system: tetragonal
* space group: P4/mmm